Entry 1:
A relaxed MnCdPd crystal, computed with PBE.

Cell: 3.340 3.340 9.061 Å, 90.00 90.00 90.00°
Space group I4mm (No. 107)
Inequivalent atoms, fractional coordinates:
Mn  0.000  0.000  0.000 [2 per cell]
Cd  0.000  0.000  0.321 [2 per cell]
Pd  0.000  0.000  0.643 [2 per cell]

Properties
**ΔE_f**: -0.13 eV per atom

---

Entry 2:
A relaxed Mn2CdPd3 crystal, computed with PBE.

Cell: 3.064 3.064 10.178 Å, 90.00 90.00 90.00°
Space group P4/mmm (No. 123)
Inequivalent atoms, fractional coordinates:
Mn  0.000  0.000  0.158 [2 per cell]
Cd  0.000  0.000  0.500 [1 per cell]
Pd  0.500  0.500  0.000 [1 per cell]
Pd  0.500  0.500  0.312 [2 per cell]

Properties
**ΔE_f**: -0.27 eV per atom

---

Entry 3:
A relaxed MnCdPd crystal, computed with PBE.

Cell: 2.990 5.742 6.283 Å, 104.82 103.74 90.14°
Space group P-1 (No. 2)
Inequivalent atoms, fractional coordinates:
Mn  0.175  0.101  0.350 [2 per cell]
Cd  0.500  0.251  0.000 [2 per cell]
Pd  0.172  0.602  0.344 [2 per cell]

Properties
**ΔE_f**: -0.04 eV per atom

---

Entry 4:
A relaxed MnCdPd3 crystal, computed with PBE.

Cell: 4.780 4.782 7.665 Å, 85.52 71.89 75.66°
Space group P-1 (No. 2)
Inequivalent atoms, fractional coordinates:
Mn  0.143  0.250  0.213 [2 per cell]
Cd  0.351  0.250  0.798 [2 per cell]
Pd  0.051  0.750  0.397 [2 per cell]
Pd  0.250  0.750  0.001 [2 per cell]
Pd  0.448  0.750  0.605 [2 per cell]

Properties
**ΔE_f**: -0.25 eV per atom
**Polymorph energy (0 for the lowest one)**: 0 meV/atom

---

Entry 5:
A relaxed MnCd2Pd9 crystal, computed with PBE.

Cell: 3.986 3.986 12.040 Å, 90.00 90.00 90.00°
Space group P4/mmm (No. 123)
Inequivalent atoms, fractional coordinates:
Mn  0.000  0.000  0.000 [1 per cell]
Cd  0.000  0.000  0.331 [2 per cell]
Pd  0.000  0.500  0.158 [4 per cell]
Pd  0.000  0.500  0.500 [2 per cell]
Pd  0.500  0.500  0.000 [1 per cell]
Pd  0.500  0.500  0.328 [2 per cell]

Properties
**ΔE_f**: -0.23 eV per atom

---

Entry 6:
A relaxed MnCdPd crystal, computed with PBE.

Cell: 4.5170 4.5170 2.8657 Å, 90.00 90.00 120.00°
Space group P-6m2 (No. 187)
Inequivalent atoms, fractional coordinates:
Mn  0.0000  0.0000  0.0000 [1 per cell]
Cd  0.6667  0.3333  0.5000 [1 per cell]
Pd  0.3333  0.6667  0.0000 [1 per cell]

Properties
**ΔE_f**: -0.04 eV per atom

---

Entry 7:
A relaxed MnCdPd14 crystal, computed with PBE.

Cell: 5.610 5.610 7.919 Å, 90.00 90.00 90.00°
Space group P4/mmm (No. 123)
Inequivalent atoms, fractional coordinates:
Mn  0.000  0.000  0.000 [1 per cell]
Cd  0.500  0.500  0.000 [1 per cell]
Pd  0.000  0.000  0.500 [1 per cell]
Pd  0.000  0.500  0.000 [2 per cell]
Pd  0.000  0.500  0.500 [2 per cell]
Pd  0.247  0.247  0.250 [8 per cell]
Pd  0.500  0.500  0.500 [1 per cell]

Properties
**ΔE_f**: -0.11 eV per atom

---

Entry 8:
A relaxed MnCdPd3 crystal, computed with PBE.

Cell: 4.582 4.582 4.582 Å, 90.00 90.00 90.00°
Space group Pm-3m (No. 221)
Inequivalent atoms, fractional coordinates:
Mn  0.000  0.000  0.000 [1 per cell]
Cd  0.500  0.500  0.500 [1 per cell]
Pd  0.000  0.000  0.500 [3 per cell]

Properties
**ΔE_f**: 0.72 eV per atom
**Polymorph energy (0 for the lowest one)**: 980 meV/atom

---

Record order is preserved below.
Calculated density: 8.99 9.41 9.00 10.02 10.75 8.98 11.04 8.40 Mg/m³